The following is a DFT calculation (PBE) of an optimized crystal structure of LaZr2Br.

## Properties
E_form (uncorrected) = -0.17 eV/atom

abc: 5.116 3.435 6.036
angles: 72.93 90.00 90.00
Atoms (fractional coordinates):
La 0.500 0.722 0.672
Zr 0.000 0.012 0.104
Zr 0.500 0.478 0.178
Br 0.000 0.288 0.546

The following is a DFT calculation (PBE) of an optimized crystal structure of KTc4Ru.

## Properties
E_form = 1.009 eV per atom

abc: 5.237 5.237 5.237
angles: 60.00 60.00 60.00
Atoms (fractional coordinates):
Tc 0.375 0.875 0.375
Tc 0.875 0.375 0.375
Tc 0.375 0.375 0.375
Tc 0.375 0.375 0.875
Ru 0.000 0.000 0.000
K 0.750 0.750 0.750

The following is a DFT calculation (PBE) of an optimized crystal structure of Ac4TlSn.

## Properties
E_form = -0.234 eV per atom

abc: 5.638 5.639 8.003
angles: 89.99 89.99 90.00
Atoms (fractional coordinates):
Ac 0.501 0.997 0.749
Ac 0.501 0.997 0.247
Ac 0.001 0.497 0.247
Ac 0.001 0.497 0.749
Tl 0.501 0.497 0.998
Sn 0.001 0.997 0.498